1.
Material: YFeIO2
Method: DFT, PBE+U
State: optimized geometry

```
data_YFeIO2
_chemical_formula_sum 'Y1 Fe1 I1 O2'
_cell_length_a 4.165
_cell_length_b 4.165
_cell_length_c 5.192
_cell_angle_alpha 90.00
_cell_angle_beta 90.00
_cell_angle_gamma 90.00
_symmetry_space_group_name_H-M 'P 4/m m m'
_symmetry_Int_Tables_number 123
_symmetry_space_group_name_Hall '-P 4 2'
loop_
_atom_site_label
_atom_site_fract_x
_atom_site_fract_y
_atom_site_fract_z
Y1 0.000 0.000 0.000
Fe1 0.500 0.500 0.500
I1 0.500 0.500 0.000
O1 0.000 0.500 0.500
```

Results
For the calculated density, the calculation gives 5.60 g cm⁻³. Its spin magnetization is 4.3 μB per formula unit. For the energy, the calculation gives -5.48 eV per atom. As for the distance to the lowest polymorph of the same formula: 255 meV per atom.

---

2.
Material: YFeIO2
Method: DFT, PBE+U
State: optimized geometry

```
data_YFeIO2
_chemical_formula_sum 'Y1 Fe1 I1 O2'
_cell_length_a 4.344
_cell_length_b 4.344
_cell_length_c 6.248
_cell_angle_alpha 90.00
_cell_angle_beta 90.00
_cell_angle_gamma 90.00
_symmetry_space_group_name_H-M 'P 4/m m m'
_symmetry_Int_Tables_number 123
_symmetry_space_group_name_Hall '-P 4 2'
loop_
_atom_site_label
_atom_site_fract_x
_atom_site_fract_y
_atom_site_fract_z
Y1 0.000 0.000 0.000
Fe1 0.500 0.500 0.500
I1 0.000 0.000 0.500
O1 0.000 0.500 0.000
```

Results
For the calculated density, the calculation gives 4.28 g cm⁻³. Its spin magnetization is 4.9 μB per formula unit. For the energy, the calculation gives -5.73 eV per atom. As for the distance to the lowest polymorph of the same formula: 0 meV per atom.

---

3.
Material: ZnFeI2O
Method: DFT, PBE+U
State: optimized geometry

```
data_ZnFeI2O
_chemical_formula_sum 'Zn1 Fe1 I2 O1'
_cell_length_a 5.732
_cell_length_b 5.732
_cell_length_c 3.735
_cell_angle_alpha 90.00
_cell_angle_beta 90.00
_cell_angle_gamma 90.00
_symmetry_space_group_name_H-M 'P 4/m m m'
_symmetry_Int_Tables_number 123
_symmetry_space_group_name_Hall '-P 4 2'
loop_
_atom_site_label
_atom_site_fract_x
_atom_site_fract_y
_atom_site_fract_z
Zn1 0.000 0.000 0.000
Fe1 0.500 0.500 0.500
I1 0.000 0.500 0.000
O1 0.000 0.000 0.500
```

Results
For the calculated density, the calculation gives 5.29 g cm⁻³. Its spin magnetization is 4.5 μB per formula unit. For the energy, the calculation gives -2.97 eV per atom. As for the distance to the lowest polymorph of the same formula: 0 meV per atom.

---

4.
Material: ZnFeI2O
Method: DFT, PBE+U
State: optimized geometry

```
data_ZnFeI2O
_chemical_formula_sum 'Zn1 Fe1 I2 O1'
_cell_length_a 5.552
_cell_length_b 5.552
_cell_length_c 3.703
_cell_angle_alpha 90.00
_cell_angle_beta 90.00
_cell_angle_gamma 90.00
_symmetry_space_group_name_H-M 'P 4/m m m'
_symmetry_Int_Tables_number 123
_symmetry_space_group_name_Hall '-P 4 2'
loop_
_atom_site_label
_atom_site_fract_x
_atom_site_fract_y
_atom_site_fract_z
Zn1 0.000 0.000 0.000
Fe1 0.500 0.500 0.500
I1 0.000 0.500 0.500
O1 0.500 0.500 0.000
```

Results
For the calculated density, the calculation gives 5.69 g cm⁻³. Its spin magnetization is 1.8 μB per formula unit. For the energy, the calculation gives -2.87 eV per atom. As for the distance to the lowest polymorph of the same formula: 94 meV per atom.

---

5.
Material: ZrFeIO2
Method: DFT, PBE+U
State: optimized geometry

```
data_ZrFeIO2
_chemical_formula_sum 'Zr1 Fe1 I1 O2'
_cell_length_a 4.044
_cell_length_b 4.044
_cell_length_c 5.261
_cell_angle_alpha 90.00
_cell_angle_beta 90.00
_cell_angle_gamma 90.00
_symmetry_space_group_name_H-M 'P 4/m m m'
_symmetry_Int_Tables_number 123
_symmetry_space_group_name_Hall '-P 4 2'
loop_
_atom_site_label
_atom_site_fract_x
_atom_site_fract_y
_atom_site_fract_z
Zr1 0.000 0.000 0.000
Fe1 0.500 0.500 0.500
I1 0.500 0.500 0.000
O1 0.000 0.500 0.500
```

Results
For the calculated density, the calculation gives 5.91 g cm⁻³. Its spin magnetization is 3.4 μB per formula unit. For the energy, the calculation gives -5.40 eV per atom. As for the distance to the lowest polymorph of the same formula: 1025 meV per atom.

---

6.
Material: ZrFeIO2
Method: DFT, PBE+U
State: optimized geometry

```
data_ZrFeIO2
_chemical_formula_sum 'Zr1 Fe1 I1 O2'
_cell_length_a 4.088
_cell_length_b 4.088
_cell_length_c 6.265
_cell_angle_alpha 90.00
_cell_angle_beta 90.00
_cell_angle_gamma 90.00
_symmetry_space_group_name_H-M 'P 4/m m m'
_symmetry_Int_Tables_number 123
_symmetry_space_group_name_Hall '-P 4 2'
loop_
_atom_site_label
_atom_site_fract_x
_atom_site_fract_y
_atom_site_fract_z
Zr1 0.000 0.000 0.000
Fe1 0.500 0.500 0.500
I1 0.000 0.000 0.500
O1 0.000 0.500 0.000
```

Results
For the calculated density, the calculation gives 4.85 g cm⁻³. Its spin magnetization is 3.0 μB per formula unit. For the energy, the calculation gives -6.42 eV per atom. As for the distance to the lowest polymorph of the same formula: 0 meV per atom.

---

Q: Which of these has the highest spin magnetization?
A: number 2